# 1
# ScCoSn

Crystalline ScCoSn at its relaxed geometry (PBE, Alexandria via LeMat-Bulk).

a b c (Å): 3.2500 4.4052 4.4052
angles (deg): 120.00 90.00 90.00
Last column: nearest neighbours and their distance in Å.
Positions (direct):
Sc: 0.6663 0.6667 0.3333  6 Co 3.02, 6 Sn 3.02, 2 Sc 3.25
Co: 0.1674 0.3333 0.6667  3 Sn 2.54
Sn: 0.1663 0.0000 0.0000  3 Co 2.54

## Properties
The space-group type is P-6m2. As for the total energy: -6.181 eV per atom. Its formation energy from the elements is -367 meV/atom. The density of states at the Fermi level is 0.726 states/eV per atom.


# 2
# ScCoSn3

Crystalline ScCoSn3 at its relaxed geometry (PBE, Alexandria via LeMat-Bulk).

a b c (Å): 4.1232 7.3673 7.3658
angles (deg): 84.46 90.00 90.00
Last column: nearest neighbours and their distance in Å.
Positions (direct):
Sc: 0.3632 0.6967 0.7440  8 Sn 2.98-3.05
Sc: 0.8633 0.0890 0.3517  6 Sn 2.88-3.04
Co: 0.3633 0.7381 0.2429  6 Sn 2.57-2.70
Co: 0.3632 0.1976 0.7024  6 Sn 2.57-2.70
Sn: 0.8632 0.3909 0.7611  2 Co 2.57
Sn: 0.8632 0.9891 0.7395  2 Co 2.57
Sn: 0.8633 0.6793 0.0496  2 Co 2.57
Sn: 0.3632 0.0703 0.0513  2 Co 2.65-2.70
Sn: 0.8633 0.7013 0.4515  2 Co 2.57
Sn: 0.3633 0.3893 0.3703  2 Co 2.65-2.70

## Properties
The space-group type is Amm2. As for the total energy: -5.245 eV per atom. Its formation energy from the elements is -155 meV/atom. The density of states at the Fermi level is 0.564 states/eV per atom.


# 3
# Sc2CoSn2

Crystalline Sc2CoSn2 at its relaxed geometry (PBE, Alexandria via LeMat-Bulk).

a b c (Å): 5.7776 5.9635 7.3514
angles (deg): 113.93 113.14 90.00
Last column: nearest neighbours and their distance in Å.
Positions (direct):
Sc: 0.8416 0.5317 0.6832  2 Co 2.66
Sc: 0.1584 0.4683 0.3168  2 Co 2.66
Sc: 0.6584 0.8485 0.3168  2 Co 2.66
Sc: 0.3416 0.1515 0.6832  2 Co 2.66
Co: 0.7500 0.5000 0.0000  4 Sn 2.61, 4 Sc 2.66, 2 Co 2.89
Co: 0.2500 0.5000 0.0000  4 Sn 2.61, 4 Sc 2.66, 2 Co 2.89
Sn: 0.4079 0.7209 0.8158  2 Co 2.61
Sn: 0.5921 0.2791 0.1842  2 Co 2.61
Sn: 0.0921 0.9052 0.1842  2 Co 2.61
Sn: 0.9079 0.0948 0.8158  2 Co 2.61

## Properties
The space-group type is Ibam. As for the total energy: -6.045 eV per atom. Its formation energy from the elements is -490 meV/atom. The density of states at the Fermi level is 0.778 states/eV per atom.


# 4
# Sc5Co2Sn

Crystalline Sc5Co2Sn at its relaxed geometry (PBE, Alexandria via LeMat-Bulk).

a b c (Å): 7.1086 7.1086 8.0803
angles (deg): 116.10 116.10 90.00
Last column: nearest neighbours and their distance in Å.
Positions (direct):
Sc: 0.5274 0.7082 0.7356  3 Co 2.67-2.68
Sc: 0.7918 0.9726 0.2644  3 Co 2.67-2.68
Sc: 0.0000 0.0000 0.0000  4 Co 2.77
Sc: 0.5000 0.5000 0.0000  4 Co 2.77
Sc: 0.2082 0.0274 0.7356  3 Co 2.67-2.68
Sc: 0.7082 0.2082 0.7356  3 Co 2.67-2.68
Sc: 0.0274 0.5274 0.7356  3 Co 2.67-2.68
Sc: 0.2918 0.7918 0.2644  3 Co 2.67-2.68
Sc: 0.9726 0.4726 0.2644  3 Co 2.67-2.68
Sc: 0.4726 0.2918 0.2644  3 Co 2.67-2.68
Co: 0.1332 0.3668 0.0000  8 Sc 2.67-2.77, 1 Co 2.68
Co: 0.6332 0.1332 0.0000  8 Sc 2.67-2.77, 1 Co 2.68
Co: 0.3668 0.8668 0.0000  8 Sc 2.67-2.77, 1 Co 2.68
Co: 0.8668 0.6332 0.0000  8 Sc 2.67-2.77, 1 Co 2.68
Sn: 0.7500 0.7500 0.5000  10 Sc 3.06-3.16
Sn: 0.2500 0.2500 0.5000  10 Sc 3.06-3.16

## Properties
The space-group type is I4/mcm. As for the total energy: -6.628 eV per atom. Its formation energy from the elements is -394 meV/atom. The density of states at the Fermi level is 1.240 states/eV per atom.


Q: Number 1 is which compound?
A: ScCoSn


Q: total energy of number 4 (Sc5Co2Sn)?
A: -6.628 eV per atom


Q: Which formula does entry 4 have?
A: Sc5Co2Sn